{
  "formula": "Zr3TlAs",
  "functional": "PBE",
  "state": "optimized geometry",
  "de_polymorph_kj_per_mol_atoms": 0.00,
  "final_energy_ry_per_atom": -0.484,
  "ef_ev_per_atom": -0.051,
  "dos_ef_per_ev_fu": 3.97,
  "crystal_system": "cubic",
  "lattice_angstrom": [[-3.906, -3.147, 0.238], [2.947, -3.772, -1.518], [1.130, -1.041, 4.781]],
  "species": ["Zr", "Zr", "Zr", "Tl", "As"],
  "fractional_positions": [[0.500, 0.000, 0.000], [0.000, 0.000, 0.500], [0.000, 0.500, 0.000], [0.500, 0.500, 0.500], [0.000, 0.000, 0.000]]
}